The following is a GGA-PBE calculation of crystalline Ag2Hg2Te at its relaxed geometry, from the Alexandria database.

Cell lengths 4.110, 4.110, 7.682 Å; angles 74.48, 74.48, 90.00 degrees
Fractional positions:
Ag 0.404 0.404 0.191
Ag 0.596 0.596 0.809
Hg 0.750 0.250 0.500
Te 0.000 0.000 0.000
Hg 0.250 0.750 0.500

Magnetic moment, μB per cell: 0.0
V, Å³ per cell: 120
Space group: I4/mmm (139)
Offset from the most stable computed form, eV/atom: 0.008
Mass density, g/cm³: 10.291

The following is a GGA-PBE calculation of crystalline LiSm12Hg6 at its relaxed geometry, from the Alexandria database.

Cell lengths 9.148, 9.148, 9.148 Å; angles 111.01, 111.01, 111.01 degrees
Fractional positions:
Sm 0.479 0.192 0.344
Sm 0.192 0.344 0.479
Sm 0.077 0.166 0.721
Sm 0.923 0.834 0.279
Sm 0.279 0.923 0.834
Hg 0.920 0.408 0.639
Sm 0.808 0.656 0.521
Hg 0.361 0.080 0.592
Sm 0.656 0.521 0.808
Hg 0.639 0.920 0.408
Li 0.000 0.000 0.000
Sm 0.166 0.721 0.077
Sm 0.721 0.077 0.166
Hg 0.592 0.361 0.080
Hg 0.408 0.639 0.920
Hg 0.080 0.592 0.361
Sm 0.344 0.479 0.192
Sm 0.521 0.808 0.656
Sm 0.834 0.279 0.923

Magnetic moment, μB per cell: 0.0
V, Å³ per cell: 553
Formation energy, eV per atom: -0.15
Space group: R-3 (148)
Mass density, g/cm³: 9.051

The following is a GGA-PBE calculation of crystalline AcReSi4 at its relaxed geometry, from the Alexandria database.

Cell lengths 6.859, 6.071, 9.251 Å; angles 133.58, 111.75, 90.01 degrees
Fractional positions:
Re 0.000 0.500 0.500
Si 0.083 0.519 0.797
Ac 0.679 0.750 0.000
Si 0.714 0.019 0.797
Si 0.684 0.397 0.533
Ac 0.321 0.250 0.000
Si 0.917 0.481 0.203
Si 0.151 0.103 0.467
Si 0.849 0.897 0.533
Re 0.500 0.000 0.500
Si 0.286 0.981 0.203
Si 0.316 0.603 0.467

Magnetic moment, μB per cell: 0.0
V, Å³ per cell: 240
Total DFT energy (no corrections), eV/atom: -6.502
Space group: C2/c (15)
Mass density, g/cm³: 7.280

The following is a GGA-PBE calculation of crystalline Ti4Ga3Ni at its relaxed geometry, from the Alexandria database.

Cell lengths 3.078, 4.021, 10.122 Å; angles 90.00, 90.00, 90.00 degrees
Fractional positions:
Ga 0.000 0.500 0.578
Ti 0.000 0.000 0.155
Ti 0.500 0.000 0.668
Ga 0.500 0.000 0.931
Ti 0.500 0.500 0.324
Ga 0.000 0.000 0.421
Ni 0.500 0.500 0.079
Ti 0.000 0.500 0.844

Magnetic moment, μB per cell: 0.0
V, Å³ per cell: 125
Formation energy, eV per atom: -0.40
Space group: Pmm2 (25)
Mass density, g/cm³: 6.088

The following is a GGA-PBE calculation of crystalline PuCuPd2 at its relaxed geometry, from the Alexandria database.

Cell lengths 6.485, 6.923, 6.227 Å; angles 90.00, 89.99, 90.00 degrees
Fractional positions:
Pd 0.000 0.211 0.283
Pd 0.000 0.211 0.717
Cu 0.299 0.000 0.500
Pu 0.723 0.000 0.000
Pd 0.500 0.711 0.283
Pd 0.500 0.289 0.283
Pd 0.000 0.789 0.283
Cu 0.799 0.500 0.500
Cu 0.701 0.000 0.500
Cu 0.201 0.500 0.500
Pu 0.277 0.000 0.000
Pd 0.500 0.711 0.717
Pd 0.000 0.789 0.717
Pd 0.500 0.289 0.717
Pu 0.223 0.500 0.000
Pu 0.777 0.500 0.000

Magnetic moment, μB per cell: 21.0
V, Å³ per cell: 280
Formation energy, eV per atom: -0.28
Space group: Cmmm (65)
Mass density, g/cm³: 12.364

The following is a GGA-PBE calculation of crystalline NaTlGa2As at its relaxed geometry, from the Alexandria database.

Cell lengths 5.517, 5.464, 5.517 Å; angles 90.00, 90.00, 90.00 degrees
Fractional positions:
Na 0.500 0.500 0.500
As 0.000 0.500 0.000
Ga 0.500 0.000 0.000
Ga 0.000 0.000 0.500
Tl 0.000 0.000 0.000

Magnetic moment, μB per cell: 0.0
V, Å³ per cell: 166
Formation energy, eV per atom: 0.44
Space group: P4/mmm (123)
Mass density, g/cm³: 4.411

The following is a GGA-PBE calculation of crystalline Ac2TmGa at its relaxed geometry, from the Alexandria database.

Cell lengths 4.896, 5.178, 5.178 Å; angles 90.00, 90.00, 90.00 degrees
Fractional positions:
Ga 0.500 0.500 0.500
Ac 0.000 0.500 0.000
Tm 0.500 0.000 0.000
Ac 0.000 0.000 0.500

Magnetic moment, μB per cell: 0.0
V, Å³ per cell: 131
Formation energy, eV per atom: -0.08
Space group: P4/mmm (123)
Offset from the most stable computed form, eV/atom: 0.071
Mass density, g/cm³: 8.761

The following is a GGA-PBE calculation of crystalline AgAsPb2Se4 at its relaxed geometry, from the Alexandria database.

Cell lengths 8.713, 8.461, 8.311 Å; angles 119.42, 118.47, 93.01 degrees
Fractional positions:
Se 0.777 0.263 0.520
Se 0.276 0.259 0.496
Se 0.246 0.688 0.467
Se 0.780 0.766 0.004
As 0.435 0.484 0.459
Se 0.276 0.259 0.038
Pb 0.984 0.020 0.502
Pb 0.498 0.999 0.006
Se 0.253 0.717 0.985
As 0.946 0.996 0.971
Pb 0.498 0.999 0.490
Se 0.780 0.766 0.541
Ag 0.978 0.519 0.994
Ag 0.978 0.519 0.504
Se 0.803 0.240 0.022
Pb 0.491 0.507 0.999

Magnetic moment, μB per cell: 0.0
V, Å³ per cell: 435
Total DFT energy (no corrections), eV/atom: -3.908
Space group: Cm (8)
Mass density, g/cm³: 6.970